[1]
The following is a DFT calculation (PBE-GGA) of an optimized crystal structure of Nb3TcTe.

Structure (CIF):
```
data_Nb3TcTe
_chemical_formula_sum 'Nb3 Tc1 Te1'
_space_group_name_H-M_alt 'P 1'
_space_group_IT_number 1
_cell_length_a 4.865
_cell_length_b 4.865
_cell_length_c 4.865
_cell_angle_alpha 90.00
_cell_angle_beta 90.00
_cell_angle_gamma 90.00
loop_
_space_group_symop_operation_xyz
'x,y,z'
loop_
_atom_site_label
_atom_site_fract_x
_atom_site_fract_y
_atom_site_fract_z
Tc1 0.000 0.000 0.000
Nb1 0.500 0.000 0.000
Nb2 0.000 0.500 0.000
Te1 0.500 0.500 0.500
Nb3 0.000 0.000 0.500
```

Results
D(E_F): 6.08 states/eV per cell
Polymorph energy (0 for the lowest one): 0.0000 eV per atom
Crystal system: cubic

[2]
The following is a DFT calculation (PBE-GGA) of an optimized crystal structure of InSnHgI2.

Structure (CIF):
```
data_InSnHgI2
_chemical_formula_sum 'In1 Sn1 Hg1 I2'
_space_group_name_H-M_alt 'P 1'
_space_group_IT_number 1
_cell_length_a 6.230
_cell_length_b 6.230
_cell_length_c 5.741
_cell_angle_alpha 90.00
_cell_angle_beta 90.00
_cell_angle_gamma 90.00
loop_
_space_group_symop_operation_xyz
'x,y,z'
loop_
_atom_site_label
_atom_site_fract_x
_atom_site_fract_y
_atom_site_fract_z
Hg1 0.000 0.000 0.500
In1 0.500 0.500 0.500
I1 0.000 0.500 0.000
I2 0.500 0.000 0.000
Sn1 0.000 0.000 0.000
```

Results
D(E_F): 2.47 states/eV per cell
Crystal system: tetragonal
Energy: -2.15 eV per atom

[3]
The following is a DFT calculation (PBE-GGA) of an optimized crystal structure of VZn3Os.

Structure (CIF):
```
data_VZn3Os
_chemical_formula_sum 'V1 Zn3 Os1'
_space_group_name_H-M_alt 'P 1'
_space_group_IT_number 1
_cell_length_a 4.733
_cell_length_b 4.733
_cell_length_c 4.733
_cell_angle_alpha 90.00
_cell_angle_beta 90.00
_cell_angle_gamma 90.00
loop_
_space_group_symop_operation_xyz
'x,y,z'
loop_
_atom_site_label
_atom_site_fract_x
_atom_site_fract_y
_atom_site_fract_z
Zn1 0.500 0.000 0.000
Zn2 0.000 0.000 0.500
V1 0.500 0.500 0.500
Os1 0.000 0.000 0.000
Zn3 0.000 0.500 0.000
```

Results
D(E_F): 5.32 states/eV per cell
E_form: 968 meV/atom
Polymorph energy (0 for the lowest one): 0.0000 eV per atom
Crystal system: cubic

Number 1: size of the total moment 0.000 Bohr magnetons per cell. Number 2: size of the total moment 0.000 Bohr magnetons per cell. Number 3: size of the total moment 3.302 Bohr magnetons per cell.